Entry from Alexandria via LeMat-Bulk: a relaxed structure of NpCr2CdO6 (PBE+U). Values from VASP.

Structure (Quantum ESPRESSO input):
```
&SYSTEM
  ibrav = 0, nat = 10, ntyp = 4
/
ATOMIC_SPECIES
Np 237.00 Np.upf
Cr 52.00 Cr.upf
Cd 112.41 Cd.upf
O 16.00 O.upf
CELL_PARAMETERS angstrom
-5.0781 -0.5612 -1.9454
-1.6900 -4.8502 -1.8709
-3.7815 -2.9343 3.0343
ATOMIC_POSITIONS crystal
Np 0.3054 0.3053 0.0840
Cr 0.5193 0.5193 0.4421
Cr 0.0136 0.0136 0.9593
Cd 0.7931 0.7931 0.6206
O 0.6511 0.2471 0.2275
O 0.2471 0.8743 0.2275
O 0.8744 0.6510 0.2275
O 0.3631 0.7332 0.7422
O 0.7332 0.1614 0.7423
O 0.1614 0.3632 0.7423
```

Output
- E_tot: -0.289 hartree per atom
- Symmetry: R3